Compound: MnAg3F6
Source: the Alexandria database
Functional: GGA+U
Structure: optimized geometry Values from VASP.

Cell and atoms, written as Quantum ESPRESSO input:
```
&SYSTEM
  ibrav = 0, nat = 20, ntyp = 3
/
ATOMIC_SPECIES
Mn 54.94 Mn.upf
Ag 107.87 Ag.upf
F 19.00 F.upf
ATOMIC_POSITIONS crystal
Mn 0.000 0.000 0.000
Mn 0.000 0.500 0.500
Ag 0.292 0.071 0.762
Ag 0.292 0.429 0.262
Ag 0.500 0.000 0.500
Ag 0.500 0.500 0.000
Ag 0.708 0.571 0.738
Ag 0.708 0.929 0.238
F 0.081 0.042 0.212
F 0.081 0.458 0.712
F 0.206 0.731 0.063
F 0.206 0.769 0.563
F 0.353 0.186 0.069
F 0.353 0.314 0.569
F 0.647 0.686 0.431
F 0.647 0.814 0.931
F 0.794 0.231 0.437
F 0.794 0.269 0.937
F 0.919 0.542 0.288
F 0.919 0.958 0.788
CELL_PARAMETERS angstrom
5.977 0.000 0.000
0.000 5.941 0.000
-5.430 0.000 8.418
```

Results
- symmetry = No. 14
- total energy (eV/atom) = -4.318
- excess energy over the best structure of this formula in the dataset (meV per atom) = 0
- spin magnetization (μB/atom) = 0.398